DFT (PBE) results for a relaxed structure of SrCdTc2Pb.

Computed properties:
* energy: -3.245 eV/atom
* size of the total moment: 4.52 μB/cell

Unit cell a=5.0846 b=5.9427 c=5.0846 alpha=90.00 beta=90.00 gamma=90.00
With the nearest neighbours (Å) after each atom.
Atoms (fractional coordinates):
Sr 0.0000 0.0000 0.0000  4 Tc 2.54
Tc 0.0000 0.0000 0.5000  2 Sr 2.54
Cd 0.5000 0.5000 0.5000  4 Pb 3.60, 8 Tc 3.91
Tc 0.5000 0.0000 0.0000  2 Sr 2.54
Pb 0.0000 0.5000 0.0000  2 Sr 2.97